Record 1
Entry from Alexandria via LeMat-Bulk: a relaxed B3C crystal (PBE).

Geometry as CIF:
```
data_B3C
_cell_length_a 4.454
_cell_length_b 4.454
_cell_length_c 8.574
_cell_angle_alpha 111.24
_cell_angle_beta 111.24
_cell_angle_gamma 31.29
_symmetry_space_group_name_H-M 'P 1'
_symmetry_Int_Tables_number 1
loop_
_symmetry_equiv_pos_as_xyz
'x,y,z'
loop_
_atom_site_label
_atom_site_type_symbol
_atom_site_fract_x
_atom_site_fract_y
_atom_site_fract_z
_atom_site_occupancy
B1 B 0.000 0.000 0.000 1
B2 B 0.029 0.029 0.221 1
B3 B 0.130 0.130 0.868 1
B4 B 0.221 0.221 0.086 1
B5 B 0.341 0.341 0.879 1
B6 B 0.506 0.506 0.720 1
B7 B 0.516 0.516 0.513 1
B8 B 0.656 0.656 0.376 1
B9 B 0.873 0.873 0.384 1
C1 C 0.306 0.306 0.674 1
C2 C 0.720 0.720 0.585 1
C3 C 0.830 0.830 0.188 1
```

=====

Record 2
Entry from Alexandria via LeMat-Bulk: a relaxed BC crystal (PBE).

Geometry as CIF:
```
data_BC
_cell_length_a 4.653
_cell_length_b 4.653
_cell_length_c 4.726
_cell_angle_alpha 102.63
_cell_angle_beta 102.63
_cell_angle_gamma 116.72
_symmetry_space_group_name_H-M 'P 1'
_symmetry_Int_Tables_number 1
loop_
_symmetry_equiv_pos_as_xyz
'x,y,z'
loop_
_atom_site_label
_atom_site_type_symbol
_atom_site_fract_x
_atom_site_fract_y
_atom_site_fract_z
_atom_site_occupancy
B1 B 0.039 0.961 0.500 1
B2 B 0.299 0.797 0.962 1
B3 B 0.444 0.877 0.371 1
B4 B 0.797 0.299 0.462 1
B5 B 0.877 0.444 0.871 1
B6 B 0.961 0.039 0.000 1
C1 C 0.085 0.253 0.349 1
C2 C 0.253 0.085 0.849 1
C3 C 0.430 0.587 0.492 1
C4 C 0.576 0.715 0.849 1
C5 C 0.587 0.430 0.992 1
C6 C 0.715 0.576 0.349 1
```

=====

Record 3
Entry from Alexandria via LeMat-Bulk: a relaxed B7C5 crystal (PBE).

Geometry as CIF:
```
data_B7C5
_cell_length_a 6.916
_cell_length_b 6.916
_cell_length_c 5.227
_cell_angle_alpha 102.85
_cell_angle_beta 102.85
_cell_angle_gamma 22.62
_symmetry_space_group_name_H-M 'P 1'
_symmetry_Int_Tables_number 1
loop_
_symmetry_equiv_pos_as_xyz
'x,y,z'
loop_
_atom_site_label
_atom_site_type_symbol
_atom_site_fract_x
_atom_site_fract_y
_atom_site_fract_z
_atom_site_occupancy
B1 B 0.000 0.000 0.000 1
B2 B 0.161 0.161 0.491 1
B3 B 0.342 0.342 0.963 1
B4 B 0.507 0.507 0.619 1
B5 B 0.578 0.578 0.174 1
B6 B 0.692 0.692 0.087 1
B7 B 0.828 0.828 0.545 1
C1 C 0.252 0.252 0.104 1
C2 C 0.275 0.275 0.430 1
C3 C 0.603 0.603 0.505 1
C4 C 0.879 0.879 0.872 1
C5 C 0.958 0.958 0.679 1
```

=====

Record 4
Entry from Alexandria via LeMat-Bulk: a relaxed BC crystal (PBE).

Geometry as CIF:
```
data_BC
_cell_length_a 3.792
_cell_length_b 3.792
_cell_length_c 4.442
_cell_angle_alpha 113.15
_cell_angle_beta 113.15
_cell_angle_gamma 85.87
_symmetry_space_group_name_H-M 'P 1'
_symmetry_Int_Tables_number 1
loop_
_symmetry_equiv_pos_as_xyz
'x,y,z'
loop_
_atom_site_label
_atom_site_type_symbol
_atom_site_fract_x
_atom_site_fract_y
_atom_site_fract_z
_atom_site_occupancy
B1 B 0.000 0.000 0.000 1
B2 B 0.219 0.219 0.821 1
B3 B 0.273 0.762 0.446 1
B4 B 0.762 0.273 0.446 1
C1 C 0.431 0.923 0.214 1
C2 C 0.549 0.549 0.990 1
C3 C 0.662 0.662 0.737 1
C4 C 0.923 0.431 0.214 1
```

=====

Record 5
Entry from Alexandria via LeMat-Bulk: a relaxed B7C5 crystal (PBE).

Geometry as CIF:
```
data_B7C5
_cell_length_a 5.839
_cell_length_b 5.839
_cell_length_c 5.014
_cell_angle_alpha 91.74
_cell_angle_beta 91.74
_cell_angle_gamma 26.83
_symmetry_space_group_name_H-M 'P 1'
_symmetry_Int_Tables_number 1
loop_
_symmetry_equiv_pos_as_xyz
'x,y,z'
loop_
_atom_site_label
_atom_site_type_symbol
_atom_site_fract_x
_atom_site_fract_y
_atom_site_fract_z
_atom_site_occupancy
B1 B 0.000 0.000 0.000 1
B2 B 0.007 0.007 0.335 1
B3 B 0.150 0.150 0.156 1
B4 B 0.326 0.326 0.635 1
B5 B 0.338 0.338 0.005 1
B6 B 0.477 0.477 0.784 1
B7 B 0.641 0.641 0.741 1
C1 C 0.202 0.202 0.843 1
C2 C 0.543 0.543 0.487 1
C3 C 0.681 0.681 0.332 1
C4 C 0.804 0.804 0.450 1
C5 C 0.870 0.870 0.175 1
```

=====

Record 6
Entry from Alexandria via LeMat-Bulk: a relaxed B3C crystal (PBE).

Geometry as CIF:
```
data_B3C
_cell_length_a 2.741
_cell_length_b 4.627
_cell_length_c 4.585
_cell_angle_alpha 90.00
_cell_angle_beta 90.00
_cell_angle_gamma 90.00
_symmetry_space_group_name_H-M 'P 1'
_symmetry_Int_Tables_number 1
loop_
_symmetry_equiv_pos_as_xyz
'x,y,z'
loop_
_atom_site_label
_atom_site_type_symbol
_atom_site_fract_x
_atom_site_fract_y
_atom_site_fract_z
_atom_site_occupancy
B1 B 0.000 0.002 0.000 1
B2 B 0.000 0.365 0.109 1
B3 B 0.000 0.459 0.475 1
B4 B 0.500 0.541 0.975 1
B5 B 0.500 0.635 0.609 1
B6 B 0.500 0.998 0.500 1
C1 C 0.000 0.117 0.367 1
C2 C 0.500 0.883 0.867 1
```

=====

Record 7
Entry from Alexandria via LeMat-Bulk: a relaxed B3C crystal (PBE).

Geometry as CIF:
```
data_B3C
_cell_length_a 9.574
_cell_length_b 9.574
_cell_length_c 9.574
_cell_angle_alpha 16.23
_cell_angle_beta 16.23
_cell_angle_gamma 16.23
_symmetry_space_group_name_H-M 'P 1'
_symmetry_Int_Tables_number 1
loop_
_symmetry_equiv_pos_as_xyz
'x,y,z'
loop_
_atom_site_label
_atom_site_type_symbol
_atom_site_fract_x
_atom_site_fract_y
_atom_site_fract_z
_atom_site_occupancy
B1 B 0.085 0.085 0.085 1
B2 B 0.154 0.154 0.154 1
B3 B 0.351 0.351 0.351 1
B4 B 0.649 0.649 0.649 1
B5 B 0.846 0.846 0.846 1
B6 B 0.915 0.915 0.915 1
C1 C 0.406 0.406 0.406 1
C2 C 0.594 0.594 0.594 1
```

=====

Record 8
Entry from Alexandria via LeMat-Bulk: a relaxed B3C7 crystal (PBE).

Geometry as CIF:
```
data_B3C7
_cell_length_a 11.165
_cell_length_b 11.165
_cell_length_c 11.165
_cell_angle_alpha 13.13
_cell_angle_beta 13.13
_cell_angle_gamma 13.13
_symmetry_space_group_name_H-M 'P 1'
_symmetry_Int_Tables_number 1
loop_
_symmetry_equiv_pos_as_xyz
'x,y,z'
loop_
_atom_site_label
_atom_site_type_symbol
_atom_site_fract_x
_atom_site_fract_y
_atom_site_fract_z
_atom_site_occupancy
B1 B 0.000 0.000 0.000 1
B2 B 0.159 0.159 0.159 1
B3 B 0.364 0.364 0.364 1
C1 C 0.208 0.208 0.208 1
C2 C 0.411 0.411 0.411 1
C3 C 0.556 0.556 0.556 1
C4 C 0.604 0.604 0.604 1
C5 C 0.761 0.761 0.761 1
C6 C 0.806 0.806 0.806 1
C7 C 0.952 0.952 0.952 1
```

=====

Energy of formation from the pure elements? In order: 0.4032; 0.4054; 0.2881; 0.4174; 0.3672; 0.3141; 0.5666; 0.2997 eV/atom.
Size of the total moment? In order: 0.000; 0.000; 0.000; 0.000; 0.000; 0.000; 0.000; 0.000 μB per atom.
Final energy? In order: -6.91; -7.55; -7.45; -7.53; -7.37; -7.00; -6.75; -8.16 eV per atom.